CrPt2Cl: single point on PBEsol structure, meta-GGA SCAN.

a = 2.961 Å, b = 4.469 Å, c = 4.701 Å
α = 90.00°, β = 90.00°, γ = 90.85°
Atoms (fractional coordinates):
Pt 0.256 0.245 0.000
Cl 0.000 0.500 0.500
Pt 0.744 0.755 0.000
Cr 0.500 0.000 0.500

Output
- Offset from the most stable computed form: 12 meV/atom
- Total DFT energy (no corrections): -166.5 eV for the cell shown
- V: 62.2 Å³/f.u.
- E_form (uncorrected): 0.26 eV/f.u.
- DOS at the Fermi energy: 2.8 states/eV per cell